Material: Ni2MoP
Method: DFT, GGA-PBE
State: optimized geometry

Results
Space-group type: R3m

Cell and atoms, written as POSCAR:
```
Ni2MoP
1.0
7.816 -1.375 0.004
7.816 1.375 0.004
7.573 0.000 2.373
Ni Mo P
2 1 1
direct
0.003 0.003 0.003
0.757 0.757 0.757
0.248 0.248 0.248
0.492 0.492 0.492
```


Material: Ni6Mo2P3
Method: DFT, GGA-PBE
State: optimized geometry

Results
Space-group type: Pmmn

Cell and atoms, written as POSCAR:
```
Ni6Mo2P3
1.0
3.534 0.000 0.000
0.000 5.693 0.000
0.000 0.000 12.917
Mo Ni P
4 12 6
direct
0.750 0.616 0.418
0.750 0.616 0.082
0.250 0.384 0.582
0.250 0.384 0.918
0.750 0.136 0.460
0.750 0.136 0.040
0.250 0.864 0.540
0.250 0.864 0.960
0.750 0.050 0.849
0.750 0.050 0.651
0.250 0.950 0.151
0.250 0.950 0.349
0.250 0.559 0.250
0.750 0.441 0.750
0.750 0.226 0.250
0.250 0.774 0.750
0.750 0.677 0.612
0.750 0.677 0.888
0.250 0.323 0.388
0.250 0.323 0.112
0.750 0.824 0.250
0.250 0.176 0.750
```


| no. | energy (eV/f.u.) |
| --- | --- |
| 1 | -27.63 |
| 2 | -77.81 |